Computed, not measured: an optimized crystal structure of BeAsPd2 at the GGA-PBE level of DFT.

Geometry as POSCAR:
```
BeAsPd2
1.0
-1.332 -3.322 1.516
3.295 -0.398 2.023
-2.319 2.289 7.963
Be Pd As
2 4 2
Direct
0.500 0.500 0.000
0.250 0.750 0.500
0.131 0.625 0.250
0.875 0.869 0.750
0.375 0.381 0.750
0.619 0.125 0.250
0.750 0.250 0.500
0.000 0.000 0.000
```

* magnetization: 0.00 μB/cell
* ΔE_f: -0.095 eV/atom
* space group: No. 122
* distance to the lowest polymorph of the same formula: 0.256 eV per atom
* total DFT energy (no corrections): -38.3 eV per cell
* D(E_F): 0.54 states/eV per atom



Computed, not measured: an optimized crystal structure of Be2AsPd8 at the GGA-PBE level of DFT.

Geometry as POSCAR:
```
Be2AsPd8
1.0
3.963 0.000 -1.206
-1.047 6.055 -3.439
-0.094 -0.245 6.806
As Pd Be
1 8 2
Direct
0.500 0.000 0.000
0.340 0.562 0.679
0.000 0.678 0.000
0.340 0.117 0.679
0.862 0.862 0.724
0.660 0.438 0.321
0.660 0.883 0.321
0.000 0.322 0.000
0.138 0.138 0.276
0.806 0.306 0.613
0.194 0.694 0.387
```

* magnetization: 0.00 μB/cell
* ΔE_f: -0.250 eV/atom
* space group: No. 71
* distance to the lowest polymorph of the same formula: 0.115 eV per atom
* total DFT energy (no corrections): -56.4 eV per cell
* D(E_F): 0.52 states/eV per atom



Computed, not measured: an optimized crystal structure of Be8As6Pd at the GGA-PBE level of DFT.

Geometry as POSCAR:
```
Be8As6Pd
1.0
6.417 0.000 0.000
-3.208 5.557 0.000
0.000 0.000 12.854
Be Pd As
16 2 12
Direct
0.339 0.339 0.776
0.000 0.676 0.122
0.676 0.000 0.122
0.661 0.000 0.776
0.333 0.667 0.378
0.000 0.661 0.776
0.000 0.339 0.276
0.667 0.333 0.378
0.339 0.000 0.276
0.676 0.676 0.622
0.324 0.000 0.622
0.000 0.324 0.622
0.661 0.661 0.276
0.333 0.667 0.878
0.667 0.333 0.878
0.324 0.324 0.122
0.000 0.000 0.536
0.000 0.000 0.036
0.333 0.667 0.193
0.642 0.642 0.448
0.642 0.000 0.948
0.000 0.642 0.948
0.667 0.333 0.693
0.000 0.358 0.448
0.000 0.000 0.730
0.358 0.000 0.448
0.000 0.000 0.230
0.667 0.333 0.193
0.358 0.358 0.948
0.333 0.667 0.693
```

* magnetization: 0.00 μB/cell
* ΔE_f: -0.036 eV/atom
* space group: No. 185
* total DFT energy (no corrections): -126.9 eV per cell
* D(E_F): 0.23 states/eV per atom



Computed, not measured: an optimized crystal structure of Be3AsPd at the GGA-PBE level of DFT.

Geometry as POSCAR:
```
Be3AsPd
1.0
-2.103 -2.915 2.252
1.714 -3.070 -2.373
3.261 -0.266 2.700
Pd As Be
1 1 3
Direct
0.000 0.000 0.000
0.500 0.500 0.500
0.000 0.000 0.500
0.000 0.500 0.000
0.500 0.000 0.000
```

* magnetization: 0.00 μB/cell
* ΔE_f: 0.510 eV/atom
* space group: No. 221
* distance to the lowest polymorph of the same formula: 0.000 eV per atom
* total DFT energy (no corrections): -18.5 eV per cell
* D(E_F): 0.35 states/eV per atom



Computed, not measured: an optimized crystal structure of BeAsPd3 at the GGA-PBE level of DFT.

Geometry as POSCAR:
```
BeAsPd3
1.0
4.602 0.000 0.000
0.000 4.602 0.000
0.000 0.000 4.602
Be Pd As
1 3 1
Direct
0.500 0.500 0.500
0.000 0.500 0.000
0.000 0.000 0.500
0.500 0.000 0.000
0.000 0.000 0.000
```

* magnetization: 0.00 μB/cell
* ΔE_f: 0.465 eV/atom
* space group: No. 221
* distance to the lowest polymorph of the same formula: 0.821 eV per atom
* total DFT energy (no corrections): -21.6 eV per cell
* D(E_F): 0.58 states/eV per atom



Computed, not measured: an optimized crystal structure of Be2AsPd8 at the GGA-PBE level of DFT.

Geometry as POSCAR:
```
Be2AsPd8
1.0
3.966 0.000 0.000
0.000 5.738 0.163
-1.983 -2.256 6.819
Pd Be As
8 2 1
Direct
0.033 0.767 0.067
0.797 0.680 0.593
0.597 0.470 0.193
0.673 0.969 0.346
0.203 0.320 0.407
0.403 0.530 0.807
0.327 0.031 0.654
0.967 0.233 0.933
0.813 0.296 0.625
0.187 0.704 0.375
0.500 0.000 0.000
```

* magnetization: 0.00 μB/cell
* ΔE_f: -0.364 eV/atom
* space group: No. 12
* distance to the lowest polymorph of the same formula: 0.000 eV per atom
* total DFT energy (no corrections): -57.7 eV per cell
* D(E_F): 0.54 states/eV per atom



Computed, not measured: an optimized crystal structure of Pm2BeAsPd6 at the GGA-PBE level of DFT.

Geometry as POSCAR:
```
Pm2BeAsPd6
1.0
-5.617 -1.363 0.378
1.455 -6.681 -2.437
-1.298 -6.184 2.862
As Pd Pm Be
1 6 2 1
Direct
0.000 0.000 0.000
0.744 0.830 0.515
0.256 0.170 0.485
0.755 0.284 0.007
0.241 0.283 0.005
0.759 0.717 0.995
0.245 0.716 0.993
0.718 0.251 0.561
0.282 0.749 0.439
0.500 0.500 0.000
```

* magnetization: 0.00 μB/cell
* ΔE_f: -0.653 eV/atom
* space group: No. 2
* total DFT energy (no corrections): -55.6 eV per cell
* D(E_F): 0.50 states/eV per atom



Computed, not measured: an optimized crystal structure of Pm2BeAs4Pd3 at the GGA-PBE level of DFT.

Geometry as POSCAR:
```
Pm2BeAs4Pd3
1.0
4.182 0.000 0.000
0.000 4.182 0.000
0.000 0.000 10.826
Be As Pm Pd
1 4 2 3
Direct
0.500 0.500 0.500
0.500 0.000 0.631
0.000 0.000 0.000
0.500 0.500 0.000
0.000 0.500 0.369
0.000 0.500 0.740
0.500 0.000 0.260
0.000 0.000 0.500
0.500 0.000 0.858
0.000 0.500 0.142
```

* magnetization: 0.00 μB/cell
* ΔE_f: -0.730 eV/atom
* space group: No. 115
* total DFT energy (no corrections): -54.7 eV per cell
* D(E_F): 0.44 states/eV per atom